[1]
{"formula": "NaNdDy2", "functional": "PBE-GGA", "state": "optimized geometry", "crystal_system": "trigonal", "delta_e_f_mev_per_atom": 182, "cell": [[3.534, 0.000, 0.000], [-1.767, 3.060, 0.000], [0.000, 0.000, 38.353]], "species": ["Na", "Na", "Na", "Nd", "Nd", "Nd", "Dy", "Dy", "Dy", "Dy", "Dy", "Dy"], "frac_coords": [[0.000, 0.000, 0.000], [0.333, 0.667, 0.667], [0.667, 0.333, 0.333], [0.000, 0.000, 0.500], [0.333, 0.667, 0.167], [0.667, 0.333, 0.833], [0.000, 0.000, 0.091], [0.000, 0.000, 0.909], [0.333, 0.667, 0.575], [0.333, 0.667, 0.758], [0.667, 0.333, 0.242], [0.667, 0.333, 0.425]]}

[2]
{"formula": "NaNdDy", "functional": "PBE-GGA", "state": "optimized geometry", "crystal_system": "orthorhombic", "delta_e_f_mev_per_atom": 409, "cell": [[0.000, 5.490, 5.893], [3.282, 0.000, 5.893], [3.282, 5.490, 0.000]], "species": ["Na", "Na", "Nd", "Nd", "Dy", "Dy"], "frac_coords": [[0.131, 0.131, 0.869], [0.869, 0.869, 0.131], [0.328, 0.672, 0.328], [0.672, 0.328, 0.672], [0.250, 0.250, 0.250], [0.750, 0.750, 0.750]]}

[3]
{"formula": "NaNdDy2", "functional": "PBE-GGA", "state": "optimized geometry", "crystal_system": "tetragonal", "delta_e_f_mev_per_atom": 149, "cell": [[3.578, 0.000, 0.000], [0.000, 3.578, 0.000], [0.000, 0.000, 10.550]], "species": ["Na", "Nd", "Dy", "Dy"], "frac_coords": [[0.000, 0.000, 0.000], [0.000, 0.000, 0.500], [0.500, 0.500, 0.266], [0.500, 0.500, 0.734]]}

[4]
{"formula": "NaNdDy", "functional": "PBE-GGA", "state": "optimized geometry", "crystal_system": "monoclinic", "delta_e_f_mev_per_atom": 108, "cell": [[21.154, 0.000, 0.000], [0.000, 3.533, 0.000], [-0.001, 0.000, 5.620]], "species": ["Na", "Na", "Na", "Na", "Nd", "Nd", "Nd", "Nd", "Dy", "Dy", "Dy", "Dy"], "frac_coords": [[0.207, 0.000, 0.249], [0.293, 0.500, 0.751], [0.707, 0.500, 0.249], [0.793, 0.000, 0.751], [0.107, 0.500, 0.750], [0.393, 0.000, 0.250], [0.607, 0.000, 0.750], [0.893, 0.500, 0.250], [0.041, 0.000, 0.250], [0.459, 0.500, 0.750], [0.541, 0.500, 0.250], [0.959, 0.000, 0.750]]}

[5]
{"formula": "NaNdDy", "functional": "PBE-GGA", "state": "optimized geometry", "crystal_system": "tetragonal", "delta_e_f_mev_per_atom": 142, "cell": [[3.547, 0.000, 0.000], [0.000, 3.547, 0.000], [0.000, 0.000, 16.379]], "species": ["Na", "Na", "Nd", "Nd", "Dy", "Dy"], "frac_coords": [[0.000, 0.000, 0.000], [0.500, 0.500, 0.500], [0.000, 0.000, 0.677], [0.500, 0.500, 0.177], [0.000, 0.000, 0.328], [0.500, 0.500, 0.828]]}

[6]
{"formula": "Na3NdDy2O6", "functional": "PBE-GGA", "state": "optimized geometry", "crystal_system": "monoclinic", "raw_formation_energy_mev_per_atom": -2731, "cell": [[3.017, -5.228, 0.000], [3.017, 5.228, 0.000], [-2.004, 0.000, 5.604]], "species": ["Na", "Na", "Na", "Nd", "Dy", "Dy", "O", "O", "O", "O", "O", "O"], "frac_coords": [[0.000, 0.000, 0.000], [0.329, 0.671, 0.000], [0.671, 0.329, 0.000], [0.500, 0.500, 0.500], [0.167, 0.833, 0.500], [0.833, 0.167, 0.500], [0.085, 0.429, 0.288], [0.227, 0.227, 0.713], [0.429, 0.085, 0.288], [0.571, 0.915, 0.712], [0.773, 0.773, 0.287], [0.915, 0.571, 0.712]]}

[7]
{"formula": "NaNdDyPb", "functional": "PBE-GGA", "state": "optimized geometry", "crystal_system": "cubic", "delta_e_f_mev_per_atom": -174, "cell": [[7.746, 0.000, 0.000], [0.000, 7.746, 0.000], [0.000, 0.000, 7.746]], "species": ["Na", "Na", "Na", "Na", "Nd", "Nd", "Nd", "Nd", "Dy", "Dy", "Dy", "Dy", "Pb", "Pb", "Pb", "Pb"], "frac_coords": [[0.000, 0.000, 0.000], [0.000, 0.500, 0.500], [0.500, 0.000, 0.500], [0.500, 0.500, 0.000], [0.250, 0.250, 0.750], [0.250, 0.750, 0.250], [0.750, 0.250, 0.250], [0.750, 0.750, 0.750], [0.250, 0.250, 0.250], [0.250, 0.750, 0.750], [0.750, 0.250, 0.750], [0.750, 0.750, 0.250], [0.000, 0.000, 0.500], [0.000, 0.500, 0.000], [0.500, 0.000, 0.000], [0.500, 0.500, 0.500]]}

[8]
{"formula": "Na2Nd3DyS6", "functional": "PBE-GGA", "state": "optimized geometry", "crystal_system": "monoclinic", "raw_formation_energy_mev_per_atom": -1867, "cell": [[3.503, -6.061, 0.000], [3.503, 6.061, 0.000], [-2.323, 0.000, 6.592]], "species": ["Na", "Na", "Nd", "Nd", "Nd", "Dy", "S", "S", "S", "S", "S", "S"], "frac_coords": [[0.166, 0.834, 0.000], [0.834, 0.166, 0.000], [0.000, 0.000, 0.500], [0.330, 0.670, 0.500], [0.670, 0.330, 0.500], [0.500, 0.500, 0.000], [0.094, 0.419, 0.756], [0.260, 0.260, 0.250], [0.419, 0.094, 0.756], [0.581, 0.906, 0.244], [0.740, 0.740, 0.750], [0.906, 0.581, 0.244]]}

[9]
{"formula": "Na2NdDyS4", "functional": "PBE-GGA", "state": "optimized geometry", "crystal_system": "monoclinic", "raw_formation_energy_mev_per_atom": -1817, "cell": [[7.034, 0.000, 0.000], [0.000, 4.059, 0.000], [-2.343, 0.000, 6.689]], "species": ["Na", "Na", "Nd", "Dy", "S", "S", "S", "S"], "frac_coords": [[0.000, 0.000, 0.000], [0.500, 0.500, 0.000], [0.000, 0.500, 0.500], [0.500, 0.000, 0.500], [0.252, 0.000, 0.732], [0.265, 0.500, 0.272], [0.735, 0.500, 0.728], [0.748, 0.000, 0.268]]}

[10]
{"formula": "NaNd3Dy2S6", "functional": "PBE-GGA", "state": "optimized geometry", "crystal_system": "monoclinic", "raw_formation_energy_mev_per_atom": -1948, "cell": [[3.451, -5.991, 0.000], [3.451, 5.991, 0.000], [-2.312, 0.000, 6.589]], "species": ["Na", "Nd", "Nd", "Nd", "Dy", "Dy", "S", "S", "S", "S", "S", "S"], "frac_coords": [[0.000, 0.000, 0.000], [0.162, 0.838, 0.500], [0.500, 0.500, 0.500], [0.838, 0.162, 0.500], [0.334, 0.666, 0.000], [0.666, 0.334, 0.000], [0.079, 0.417, 0.239], [0.258, 0.258, 0.767], [0.417, 0.079, 0.239], [0.583, 0.921, 0.761], [0.742, 0.742, 0.233], [0.921, 0.583, 0.761]]}

[11]
{"formula": "Na3Nd2DyS6", "functional": "PBE-GGA", "state": "optimized geometry", "crystal_system": "monoclinic", "raw_formation_energy_mev_per_atom": -1810, "cell": [[3.538, -6.127, 0.000], [3.538, 6.127, 0.000], [-2.360, 0.000, 6.693]], "species": ["Na", "Na", "Na", "Nd", "Nd", "Dy", "S", "S", "S", "S", "S", "S"], "frac_coords": [[0.000, 0.000, 0.000], [0.333, 0.667, 0.000], [0.667, 0.333, 0.000], [0.167, 0.833, 0.500], [0.833, 0.167, 0.500], [0.500, 0.500, 0.500], [0.098, 0.423, 0.269], [0.252, 0.252, 0.730], [0.423, 0.098, 0.269], [0.577, 0.902, 0.731], [0.748, 0.748, 0.270], [0.902, 0.577, 0.731]]}

[12]
{"formula": "NaNdDy2S4", "functional": "PBE-GGA", "state": "optimized geometry", "crystal_system": "monoclinic", "raw_formation_energy_mev_per_atom": -1925, "cell": [[6.898, 0.000, 0.000], [0.000, 3.949, 0.000], [-2.258, 0.000, 6.559]], "species": ["Na", "Nd", "Dy", "Dy", "S", "S", "S", "S"], "frac_coords": [[0.000, 0.000, 0.000], [0.500, 0.500, 0.000], [0.000, 0.500, 0.500], [0.500, 0.000, 0.500], [0.243, 0.000, 0.738], [0.254, 0.500, 0.263], [0.746, 0.500, 0.737], [0.757, 0.000, 0.262]]}

[13]
{"formula": "NaNd4Dy3S8", "functional": "PBE-GGA", "state": "optimized geometry", "crystal_system": "trigonal", "raw_formation_energy_mev_per_atom": -1959, "cell": [[3.985, 2.301, 6.578], [-3.985, 2.301, 6.578], [0.000, -4.601, 6.578]], "species": ["Na", "Nd", "Nd", "Nd", "Nd", "Dy", "Dy", "Dy", "S", "S", "S", "S", "S", "S", "S", "S"], "frac_coords": [[0.000, 0.000, 0.000], [0.000, 0.000, 0.500], [0.000, 0.500, 0.000], [0.500, 0.000, 0.000], [0.500, 0.500, 0.500], [0.000, 0.500, 0.500], [0.500, 0.000, 0.500], [0.500, 0.500, 0.000], [0.246, 0.246, 0.743], [0.246, 0.743, 0.246], [0.255, 0.255, 0.255], [0.257, 0.754, 0.754], [0.743, 0.246, 0.246], [0.745, 0.745, 0.745], [0.754, 0.257, 0.754], [0.754, 0.754, 0.257]]}

[14]
{"formula": "Na2Nd3DySe6", "functional": "PBE-GGA", "state": "optimized geometry", "crystal_system": "monoclinic", "raw_formation_energy_mev_per_atom": -1728, "cell": [[3.641, -6.300, 0.000], [3.641, 6.300, 0.000], [-2.416, 0.000, 6.877]], "species": ["Na", "Na", "Nd", "Nd", "Nd", "Dy", "Se", "Se", "Se", "Se", "Se", "Se"], "frac_coords": [[0.165, 0.835, 0.000], [0.835, 0.165, 0.000], [0.000, 0.000, 0.500], [0.330, 0.670, 0.500], [0.670, 0.330, 0.500], [0.500, 0.500, 0.000], [0.093, 0.419, 0.757], [0.257, 0.257, 0.248], [0.419, 0.093, 0.757], [0.581, 0.907, 0.243], [0.743, 0.743, 0.752], [0.907, 0.581, 0.243]]}

[15]
{"formula": "Na3NdDy2Se6", "functional": "PBE-GGA", "state": "optimized geometry", "crystal_system": "monoclinic", "raw_formation_energy_mev_per_atom": -1698, "cell": [[3.631, -6.290, 0.000], [3.631, 6.290, 0.000], [-2.424, 0.000, 7.011]], "species": ["Na", "Na", "Na", "Nd", "Dy", "Dy", "Se", "Se", "Se", "Se", "Se", "Se"], "frac_coords": [[0.000, 0.000, 0.000], [0.335, 0.665, 0.000], [0.665, 0.335, 0.000], [0.500, 0.500, 0.500], [0.167, 0.833, 0.500], [0.833, 0.167, 0.500], [0.081, 0.423, 0.269], [0.236, 0.236, 0.732], [0.423, 0.081, 0.269], [0.577, 0.919, 0.731], [0.764, 0.764, 0.268], [0.919, 0.577, 0.731]]}

[16]
{"formula": "NaNd2DySe4", "functional": "PBE-GGA", "state": "optimized geometry", "crystal_system": "monoclinic", "raw_formation_energy_mev_per_atom": -1750, "cell": [[7.253, 0.000, 0.000], [0.000, 4.166, 0.000], [-2.376, 0.000, 6.863]], "species": ["Na", "Nd", "Nd", "Dy", "Se", "Se", "Se", "Se"], "frac_coords": [[0.000, 0.000, 0.000], [0.000, 0.500, 0.500], [0.500, 0.000, 0.500], [0.500, 0.500, 0.000], [0.252, 0.500, 0.243], [0.256, 0.000, 0.762], [0.744, 0.000, 0.238], [0.748, 0.500, 0.757]]}

[17]
{"formula": "Na2NdDySe4", "functional": "PBE-GGA", "state": "optimized geometry", "crystal_system": "monoclinic", "raw_formation_energy_mev_per_atom": -1692, "cell": [[7.302, 0.000, 0.000], [0.000, 4.215, 0.000], [-2.434, 0.000, 7.017]], "species": ["Na", "Na", "Nd", "Dy", "Se", "Se", "Se", "Se"], "frac_coords": [[0.000, 0.000, 0.000], [0.500, 0.500, 0.000], [0.000, 0.500, 0.500], [0.500, 0.000, 0.500], [0.252, 0.000, 0.734], [0.263, 0.500, 0.269], [0.737, 0.500, 0.731], [0.748, 0.000, 0.266]]}

[18]
{"formula": "Na2NdDy3Se6", "functional": "PBE-GGA", "state": "optimized geometry", "crystal_system": "monoclinic", "raw_formation_energy_mev_per_atom": -1728, "cell": [[3.576, -6.188, 0.000], [3.576, 6.188, 0.000], [-2.381, 0.000, 6.864]], "species": ["Na", "Na", "Nd", "Dy", "Dy", "Dy", "Se", "Se", "Se", "Se", "Se", "Se"], "frac_coords": [[0.166, 0.834, 0.000], [0.834, 0.166, 0.000], [0.500, 0.500, 0.000], [0.000, 0.000, 0.500], [0.332, 0.668, 0.500], [0.668, 0.332, 0.500], [0.079, 0.413, 0.741], [0.253, 0.253, 0.262], [0.413, 0.079, 0.741], [0.587, 0.921, 0.259], [0.747, 0.747, 0.738], [0.921, 0.587, 0.259]]}

[19]
{"formula": "NaNd3Dy2Se6", "functional": "PBE-GGA", "state": "optimized geometry", "crystal_system": "monoclinic", "raw_formation_energy_mev_per_atom": -1771, "cell": [[3.591, -6.229, 0.000], [3.591, 6.229, 0.000], [-2.404, 0.000, 6.876]], "species": ["Na", "Nd", "Nd", "Nd", "Dy", "Dy", "Se", "Se", "Se", "Se", "Se", "Se"], "frac_coords": [[0.000, 0.000, 0.000], [0.162, 0.838, 0.500], [0.500, 0.500, 0.500], [0.838, 0.162, 0.500], [0.334, 0.666, 0.000], [0.666, 0.334, 0.000], [0.079, 0.416, 0.240], [0.256, 0.256, 0.767], [0.416, 0.079, 0.240], [0.584, 0.921, 0.760], [0.744, 0.744, 0.233], [0.921, 0.584, 0.760]]}

[20]
{"formula": "NaNdDySn", "functional": "PBE-GGA", "state": "optimized geometry", "crystal_system": "cubic", "delta_e_f_mev_per_atom": -296, "cell": [[7.653, 0.000, 0.000], [0.000, 7.653, 0.000], [0.000, 0.000, 7.653]], "species": ["Na", "Na", "Na", "Na", "Nd", "Nd", "Nd", "Nd", "Dy", "Dy", "Dy", "Dy", "Sn", "Sn", "Sn", "Sn"], "frac_coords": [[0.000, 0.000, 0.000], [0.000, 0.500, 0.500], [0.500, 0.000, 0.500], [0.500, 0.500, 0.000], [0.250, 0.250, 0.750], [0.250, 0.750, 0.250], [0.750, 0.250, 0.250], [0.750, 0.750, 0.750], [0.250, 0.250, 0.250], [0.250, 0.750, 0.750], [0.750, 0.250, 0.750], [0.750, 0.750, 0.250], [0.000, 0.000, 0.500], [0.000, 0.500, 0.000], [0.500, 0.000, 0.000], [0.500, 0.500, 0.500]]}

[21]
{"formula": "Na3Nd2DyTe6", "functional": "PBE-GGA", "state": "optimized geometry", "crystal_system": "monoclinic", "raw_formation_energy_mev_per_atom": -1323, "cell": [[3.904, -6.763, 0.000], [3.904, 6.763, 0.000], [-2.607, 0.000, 7.573]], "species": ["Na", "Na", "Na", "Nd", "Nd", "Dy", "Te", "Te", "Te", "Te", "Te", "Te"], "frac_coords": [[0.000, 0.000, 0.000], [0.331, 0.669, 0.000], [0.669, 0.331, 0.000], [0.166, 0.834, 0.500], [0.834, 0.166, 0.500], [0.500, 0.500, 0.500], [0.095, 0.421, 0.263], [0.253, 0.253, 0.737], [0.421, 0.095, 0.263], [0.579, 0.905, 0.737], [0.747, 0.747, 0.263], [0.905, 0.579, 0.737]]}

[22]
{"formula": "Na4NdDy3Te8", "functional": "PBE-GGA", "state": "optimized geometry", "crystal_system": "trigonal", "raw_formation_energy_mev_per_atom": -1318, "cell": [[4.459, 2.574, 7.568], [-4.459, 2.574, 7.568], [0.000, -5.148, 7.568]], "species": ["Na", "Na", "Na", "Na", "Nd", "Dy", "Dy", "Dy", "Te", "Te", "Te", "Te", "Te", "Te", "Te", "Te"], "frac_coords": [[0.000, 0.000, 0.000], [0.000, 0.500, 0.500], [0.500, 0.000, 0.500], [0.500, 0.500, 0.000], [0.500, 0.500, 0.500], [0.000, 0.000, 0.500], [0.000, 0.500, 0.000], [0.500, 0.000, 0.000], [0.238, 0.748, 0.748], [0.244, 0.244, 0.244], [0.252, 0.252, 0.762], [0.252, 0.762, 0.252], [0.748, 0.238, 0.748], [0.748, 0.748, 0.238], [0.756, 0.756, 0.756], [0.762, 0.252, 0.252]]}

[23]
{"formula": "Na2NdDy3Te6", "functional": "PBE-GGA", "state": "optimized geometry", "crystal_system": "monoclinic", "raw_formation_energy_mev_per_atom": -1325, "cell": [[3.820, -6.614, 0.000], [3.820, 6.614, 0.000], [-2.547, 0.000, 7.353]], "species": ["Na", "Na", "Nd", "Dy", "Dy", "Dy", "Te", "Te", "Te", "Te", "Te", "Te"], "frac_coords": [[0.167, 0.833, 0.000], [0.833, 0.167, 0.000], [0.500, 0.500, 0.000], [0.000, 0.000, 0.500], [0.333, 0.667, 0.500], [0.667, 0.333, 0.500], [0.079, 0.414, 0.742], [0.252, 0.252, 0.260], [0.414, 0.079, 0.742], [0.586, 0.921, 0.258], [0.748, 0.748, 0.740], [0.921, 0.586, 0.258]]}